# Ca2Mg9Ag6, relaxed, DFT PBE-GGA
# - E_form: -0.0826 eV per atom
# - Space group: P6/mmm, No. 191
# - DFT total energy: -36.9 eV/cell
data_Ca2Mg9Ag6
_chemical_formula_sum 'Ca2 Mg9 Ag6'
_symmetry_space_group_name_H-M 'P 1'
_symmetry_Int_Tables_number 1
_cell_length_a 5.921
_cell_length_b 5.921
_cell_length_c 13.715
_cell_angle_alpha 90.00
_cell_angle_beta 90.00
_cell_angle_gamma 120.00
loop_
_symmetry_equiv_pos_as_xyz
'x,y,z'
loop_
_atom_site_label
_atom_site_type_symbol
_atom_site_fract_x
_atom_site_fract_y
_atom_site_fract_z
Ca1 Ca 0.000 0.000 0.166
Ca2 Ca 0.000 0.000 0.834
Mg1 Mg 0.000 0.500 0.000
Mg2 Mg 0.000 0.500 0.338
Mg3 Mg 0.000 0.500 0.662
Mg4 Mg 0.500 0.000 0.000
Mg5 Mg 0.500 0.000 0.338
Mg6 Mg 0.500 0.000 0.662
Mg7 Mg 0.500 0.500 0.000
Mg8 Mg 0.500 0.500 0.338
Mg9 Mg 0.500 0.500 0.662
Ag1 Ag 0.333 0.667 0.170
Ag2 Ag 0.333 0.667 0.500
Ag3 Ag 0.333 0.667 0.830
Ag4 Ag 0.667 0.333 0.170
Ag5 Ag 0.667 0.333 0.500
Ag6 Ag 0.667 0.333 0.830

---

# LaPr7Ho4, relaxed, DFT PBE-GGA
# - E_form: 0.0044 eV per atom
# - Space group: P-1, No. 2
# - DFT total energy: -56.6 eV/cell
data_LaPr7Ho4
_chemical_formula_sum 'La1 Pr7 Ho4'
_symmetry_space_group_name_H-M 'P 1'
_symmetry_Int_Tables_number 1
_cell_length_a 6.387
_cell_length_b 7.372
_cell_length_c 9.075
_cell_angle_alpha 89.98
_cell_angle_beta 76.45
_cell_angle_gamma 90.00
loop_
_symmetry_equiv_pos_as_xyz
'x,y,z'
loop_
_atom_site_label
_atom_site_type_symbol
_atom_site_fract_x
_atom_site_fract_y
_atom_site_fract_z
La1 La 0.000 0.000 0.000
Pr1 Pr 0.000 0.500 0.000
Pr2 Pr 0.224 0.000 0.335
Pr3 Pr 0.281 0.253 0.664
Pr4 Pr 0.500 0.254 0.003
Pr5 Pr 0.500 0.746 0.997
Pr6 Pr 0.719 0.747 0.336
Pr7 Pr 0.776 0.000 0.665
Ho1 Ho 0.218 0.500 0.336
Ho2 Ho 0.277 0.744 0.665
Ho3 Ho 0.723 0.256 0.335
Ho4 Ho 0.782 0.500 0.664

---

# Be2AsPb, relaxed, DFT PBE-GGA
# - E_form: 0.7667 eV per atom
# - Space group: Fm-3m, No. 225
# - DFT total energy: -12.7 eV/cell
data_Be2AsPb
_chemical_formula_sum 'Be2 As1 Pb1'
_symmetry_space_group_name_H-M 'P 1'
_symmetry_Int_Tables_number 1
_cell_length_a 4.611
_cell_length_b 4.611
_cell_length_c 4.611
_cell_angle_alpha 60.00
_cell_angle_beta 60.00
_cell_angle_gamma 60.00
loop_
_symmetry_equiv_pos_as_xyz
'x,y,z'
loop_
_atom_site_label
_atom_site_type_symbol
_atom_site_fract_x
_atom_site_fract_y
_atom_site_fract_z
Be1 Be 0.250 0.250 0.250
Be2 Be 0.750 0.750 0.750
As1 As 0.000 0.000 0.000
Pb1 Pb 0.500 0.500 0.500

---

# SmY2Er, relaxed, DFT PBE-GGA
# - E_form: 0.2081 eV per atom
# - Space group: R-3m, No. 166
# - DFT total energy: -21.4 eV/cell
data_SmY2Er
_chemical_formula_sum 'Sm1 Y2 Er1'
_symmetry_space_group_name_H-M 'P 1'
_symmetry_Int_Tables_number 1
_cell_length_a 12.635
_cell_length_b 12.635
_cell_length_c 12.635
_cell_angle_alpha 15.90
_cell_angle_beta 15.90
_cell_angle_gamma 15.90
loop_
_symmetry_equiv_pos_as_xyz
'x,y,z'
loop_
_atom_site_label
_atom_site_type_symbol
_atom_site_fract_x
_atom_site_fract_y
_atom_site_fract_z
Sm1 Sm 0.000 0.000 0.000
Y1 Y 0.411 0.411 0.411
Y2 Y 0.589 0.589 0.589
Er1 Er 0.500 0.500 0.500

---

# CdSiAg3, relaxed, DFT PBE-GGA
# - ΔE_f (raw): 97.3 kJ per mole of atoms
# - Space group: Pm-3m, No. 221
# - DFT total energy: -9.8 eV/cell
data_CdSiAg3
_chemical_formula_sum 'Cd1 Si1 Ag3'
_symmetry_space_group_name_H-M 'P 1'
_symmetry_Int_Tables_number 1
_cell_length_a 5.104
_cell_length_b 5.104
_cell_length_c 5.104
_cell_angle_alpha 90.00
_cell_angle_beta 90.00
_cell_angle_gamma 90.00
loop_
_symmetry_equiv_pos_as_xyz
'x,y,z'
loop_
_atom_site_label
_atom_site_type_symbol
_atom_site_fract_x
_atom_site_fract_y
_atom_site_fract_z
Cd1 Cd 0.000 0.000 0.000
Si1 Si 0.500 0.500 0.500
Ag1 Ag 0.000 0.000 0.500
Ag2 Ag 0.000 0.500 0.000
Ag3 Ag 0.500 0.000 0.000

---

# ZnFeTcNi, relaxed, DFT PBE-GGA
# - E_form: 0.1078 eV per atom
# - Space group: F-43m, No. 216
# - DFT total energy: -25.5 eV/cell
data_ZnFeTcNi
_chemical_formula_sum 'Zn1 Fe1 Tc1 Ni1'
_symmetry_space_group_name_H-M 'P 1'
_symmetry_Int_Tables_number 1
_cell_length_a 4.162
_cell_length_b 4.162
_cell_length_c 4.162
_cell_angle_alpha 60.00
_cell_angle_beta 60.00
_cell_angle_gamma 60.00
loop_
_symmetry_equiv_pos_as_xyz
'x,y,z'
loop_
_atom_site_label
_atom_site_type_symbol
_atom_site_fract_x
_atom_site_fract_y
_atom_site_fract_z
Zn1 Zn 0.000 0.000 0.000
Fe1 Fe 0.500 0.500 0.500
Tc1 Tc 0.750 0.750 0.750
Ni1 Ni 0.250 0.250 0.250

---

# Ac6La2PrY3, relaxed, DFT PBE-GGA
# - E_form: 0.0290 eV per atom
# - Space group: C2/m, No. 12
# - DFT total energy: -58.3 eV/cell
data_Ac6La2PrY3
_chemical_formula_sum 'Ac6 La2 Pr1 Y3'
_symmetry_space_group_name_H-M 'P 1'
_symmetry_Int_Tables_number 1
_cell_length_a 6.673
_cell_length_b 6.673
_cell_length_c 12.437
_cell_angle_alpha 95.13
_cell_angle_beta 95.13
_cell_angle_gamma 120.06
loop_
_symmetry_equiv_pos_as_xyz
'x,y,z'
loop_
_atom_site_label
_atom_site_type_symbol
_atom_site_fract_x
_atom_site_fract_y
_atom_site_fract_z
Ac1 Ac 0.086 0.419 0.756
Ac2 Ac 0.248 0.248 0.244
Ac3 Ac 0.419 0.086 0.756
Ac4 Ac 0.581 0.914 0.244
Ac5 Ac 0.752 0.752 0.756
Ac6 Ac 0.914 0.581 0.244
La1 La 0.334 0.666 0.500
La2 La 0.666 0.334 0.500
Pr1 Pr 0.000 0.000 0.500
Y1 Y 0.167 0.833 0.000
Y2 Y 0.500 0.500 0.000
Y3 Y 0.833 0.167 0.000

---

# LaCo2Os2, relaxed, DFT PBE-GGA
# - E_form: 0.1454 eV per atom
# - Space group: I4/mmm, No. 139
# - DFT total energy: -40.9 eV/cell
data_LaCo2Os2
_chemical_formula_sum 'La1 Co2 Os2'
_symmetry_space_group_name_H-M 'P 1'
_symmetry_Int_Tables_number 1
_cell_length_a 5.833
_cell_length_b 5.833
_cell_length_c 5.833
_cell_angle_alpha 137.99
_cell_angle_beta 137.99
_cell_angle_gamma 60.92
loop_
_symmetry_equiv_pos_as_xyz
'x,y,z'
loop_
_atom_site_label
_atom_site_type_symbol
_atom_site_fract_x
_atom_site_fract_y
_atom_site_fract_z
La1 La 0.000 0.000 0.000
Co1 Co 0.250 0.750 0.500
Co2 Co 0.750 0.250 0.500
Os1 Os 0.381 0.381 0.000
Os2 Os 0.619 0.619 0.000

---

Question: The lowest DFT total energy belongs to which entry?
Answer: Ac6La2PrY3

---

Question: What is the DFT total energy in the fourth record?
Answer: -21.4 eV/cell

---

Question: Among the records above, which one has the lowest DFT total energy?
Answer: Ac6La2PrY3